1.
# CdSi2Os

A geometry-optimized CdSi2Os structure (PBE, Alexandria).

Cell lengths 3.196, 4.394, 4.916 Å; angles 90.00, 108.81, 90.00 degrees
Space group Pm (No. 6)
One atom of each set of equivalent atoms:
Cd (0.000, 0.000, 0.000) [1 per cell]
Si (0.320, 0.500, 0.646) [1 per cell]
Si (0.730, 0.000, 0.465) [1 per cell]
Os (0.617, 0.500, 0.237) [1 per cell]

The calculation puts the total energy at -5.536 eV/atom. Its crystal system is monoclinic. The formation energy from raw total energies comes out at 0.212 eV per atom. For the density of states at the Fermi level, the calculation gives 1.6 states/eV per cell.

=====

2.
# Sc2PtS

A geometry-optimized Sc2PtS structure (PBE, Alexandria).

Cell lengths 4.0327, 4.0327, 22.3104 Å; angles 90.00, 90.00, 120.00 degrees
Space group R-3m (No. 166, hexagonal axes)
One atom of each set of equivalent atoms:
Sc (0.0000, 0.0000, 0.1050) [6 per cell]
Pt (0.0000, 0.0000, 0.5000) [3 per cell]
S (0.0000, 0.0000, 0.0000) [3 per cell]

The calculation puts the total energy at -6.668 eV/atom. Its crystal system is trigonal. The formation energy from raw total energies comes out at -0.960 eV per atom. For the density of states at the Fermi level, the calculation gives 0.0 states/eV per cell.

=====

3.
# Ac2Er2Se2S3

A geometry-optimized Ac2Er2Se2S3 structure (PBE, Alexandria).

Cell lengths 5.075, 5.075, 19.690 Å; angles 90.00, 90.00, 90.00 degrees
Space group I4/mmm (No. 139)
One atom of each set of equivalent atoms:
Ac (0.000, 0.000, 0.176) [4 per cell]
Er (0.000, 0.500, 0.000) [4 per cell]
Se (0.000, 0.000, 0.410) [4 per cell]
S (0.000, 0.000, 0.000) [2 per cell]
S (0.000, 0.500, 0.250) [4 per cell]

The calculation puts the total energy at -5.808 eV/atom. Its crystal system is tetragonal. The formation energy from raw total energies comes out at -1.731 eV per atom. For the density of states at the Fermi level, the calculation gives 8.5 states/eV per cell.

=====

4.
# TiNbS2

A geometry-optimized TiNbS2 structure (PBE, Alexandria).

Cell lengths 5.562, 5.562, 10.691 Å; angles 90.00, 90.00, 90.00 degrees
Space group I-42d (No. 122)
One atom of each set of equivalent atoms:
Ti (0.000, 0.000, 0.000) [4 per cell]
Nb (0.000, 0.000, 0.500) [4 per cell]
S (0.240, 0.250, 0.125) [8 per cell]

The calculation puts the total energy at -7.172 eV/atom. Its crystal system is tetragonal. The calculation puts the energy above the most stable polymorph in this dataset at 490 meV per atom. The formation energy from raw total energies comes out at -0.617 eV per atom. For the density of states at the Fermi level, the calculation gives 17.9 states/eV per cell.

=====

5.
# Y2ErUN4

A geometry-optimized Y2ErUN4 structure (PBE, Alexandria).

Cell lengths 5.960, 3.453, 5.972 Å; angles 90.00, 108.99, 90.00 degrees
Space group P2/m (No. 10)
One atom of each set of equivalent atoms:
Y (0.000, 0.000, 0.000) [1 per cell]
Y (0.500, 0.500, 0.000) [1 per cell]
Er (0.000, 0.500, 0.500) [1 per cell]
U (0.500, 0.000, 0.500) [1 per cell]
N (0.259, 0.000, 0.734) [2 per cell]
N (0.259, 0.500, 0.263) [2 per cell]

The calculation puts the total energy at -9.395 eV/atom. Its crystal system is monoclinic. The formation energy from raw total energies comes out at -1.634 eV per atom. For the density of states at the Fermi level, the calculation gives 4.4 states/eV per cell.

=====

6.
# SrCaCd2Cu

A geometry-optimized SrCaCd2Cu structure (PBE, Alexandria).

Cell lengths 5.232, 5.232, 5.234 Å; angles 90.00, 90.00, 90.00 degrees
Space group P4/mmm (No. 123)
One atom of each set of equivalent atoms:
Sr (0.000, 0.000, 0.000) [1 per cell]
Ca (0.500, 0.500, 0.000) [1 per cell]
Cd (0.000, 0.500, 0.500) [2 per cell]
Cu (0.500, 0.500, 0.500) [1 per cell]

The calculation puts the total energy at -2.000 eV/atom. Its crystal system is tetragonal. For the density of states at the Fermi level, the calculation gives 3.1 states/eV per cell. The formation energy comes out at -0.078 eV per atom.

=====

7.
# Y3Ho3PuSe8

A geometry-optimized Y3Ho3PuSe8 structure (PBE, Alexandria).

Cell lengths 8.1290, 8.1290, 19.9171 Å; angles 90.00, 90.00, 120.00 degrees
Space group R-3m (No. 166, hexagonal axes)
One atom of each set of equivalent atoms:
Y (0.0000, 0.5000, 0.0000) [9 per cell]
Ho (0.0000, 0.5000, 0.5000) [9 per cell]
Pu (0.0000, 0.0000, 0.5000) [3 per cell]
Se (0.0000, 0.0000, 0.2491) [6 per cell]
Se (0.0100, 0.5050, 0.7485) [18 per cell]

The calculation puts the total energy at -6.801 eV/atom. Its crystal system is trigonal. The formation energy from raw total energies comes out at -1.779 eV per atom. For the density of states at the Fermi level, the calculation gives 48.9 states/eV per cell.

=====

8.
# TaSbTe2N

A geometry-optimized TaSbTe2N structure (PBE, Alexandria).

Cell lengths 4.698, 4.698, 4.637 Å; angles 90.00, 90.00, 90.00 degrees
Space group P4/mmm (No. 123)
One atom of each set of equivalent atoms:
Ta (0.000, 0.000, 0.000) [1 per cell]
Sb (0.500, 0.500, 0.000) [1 per cell]
Te (0.000, 0.500, 0.500) [2 per cell]
N (0.500, 0.500, 0.500) [1 per cell]

The calculation puts the total energy at -5.214 eV/atom. Its crystal system is tetragonal. The calculation puts the energy above the most stable polymorph in this dataset at 784 meV per atom. The formation energy from raw total energies comes out at 0.903 eV per atom. For the density of states at the Fermi level, the calculation gives 5.3 states/eV per cell.

=====

9.
# Y2ZnAgHg

A geometry-optimized Y2ZnAgHg structure (PBE, Alexandria).

Cell lengths 5.511, 5.511, 5.106 Å; angles 90.00, 90.00, 90.00 degrees
Space group P4/mmm (No. 123)
One atom of each set of equivalent atoms:
Y (0.000, 0.500, 0.000) [2 per cell]
Zn (0.000, 0.000, 0.500) [1 per cell]
Ag (0.500, 0.500, 0.000) [1 per cell]
Hg (0.500, 0.500, 0.500) [1 per cell]

The calculation puts the total energy at -3.132 eV/atom. Its crystal system is tetragonal. For the density of states at the Fermi level, the calculation gives 6.9 states/eV per cell. The formation energy comes out at 0.339 eV per atom.

=====

10.
# Sm2Zn3Cu12Pd

A geometry-optimized Sm2Zn3Cu12Pd structure (PBE, Alexandria).

Cell lengths 6.1523, 6.1523, 27.2619 Å; angles 90.00, 90.00, 120.00 degrees
Space group R-3m (No. 166, hexagonal axes)
One atom of each set of equivalent atoms:
Sm (0.0000, 0.0000, 0.1479) [6 per cell]
Zn (0.0000, 0.5000, 0.0000) [9 per cell]
Cu (0.0391, 0.5195, 0.0950) [18 per cell]
Cu (0.0746, 0.5373, 0.6181) [18 per cell]
Pd (0.0000, 0.0000, 0.5000) [3 per cell]

The calculation puts the total energy at -3.661 eV/atom. Its crystal system is trigonal. For the density of states at the Fermi level, the calculation gives 19.8 states/eV per cell. The formation energy comes out at 0.095 eV per atom.

=====

11.
# KZrV2

A geometry-optimized KZrV2 structure (PBE, Alexandria).

Cell lengths 4.474, 4.474, 19.562 Å; angles 90.00, 90.00, 90.00 degrees
Space group I-42d (No. 122)
One atom of each set of equivalent atoms:
K (0.000, 0.000, 0.000) [4 per cell]
Zr (0.000, 0.000, 0.500) [4 per cell]
V (0.098, 0.250, 0.625) [8 per cell]

The calculation puts the total energy at -5.354 eV/atom. Its crystal system is tetragonal. The calculation puts the energy above the most stable polymorph in this dataset at 234 meV per atom. For the density of states at the Fermi level, the calculation gives 24.9 states/eV per cell. The formation energy comes out at 1.617 eV per atom.

=====

12.
# ScMoRh2

A geometry-optimized ScMoRh2 structure (PBE, Alexandria).

Cell lengths 2.874, 4.211, 5.366 Å; angles 90.00, 90.00, 90.00 degrees
Space group Pmm2 (No. 25)
One atom of each set of equivalent atoms:
Sc (0.000, 0.000, 0.000) [1 per cell]
Mo (0.500, 0.500, 0.330) [1 per cell]
Rh (0.000, 0.000, 0.499) [1 per cell]
Rh (0.500, 0.500, 0.829) [1 per cell]

The calculation puts the total energy at -8.210 eV/atom. Its crystal system is orthorhombic. For the density of states at the Fermi level, the calculation gives 3.7 states/eV per cell. The formation energy comes out at -0.243 eV per atom.

=====

13.
# SrOs2Ru

A geometry-optimized SrOs2Ru structure (PBE, Alexandria).

Cell lengths 4.036, 4.036, 8.601 Å; angles 90.00, 90.00, 90.00 degrees
Space group I4/mmm (No. 139)
One atom of each set of equivalent atoms:
Sr (0.000, 0.000, 0.000) [2 per cell]
Os (0.000, 0.500, 0.250) [4 per cell]
Ru (0.000, 0.000, 0.500) [2 per cell]

The calculation puts the total energy at -7.145 eV/atom. Its crystal system is tetragonal. The calculation puts the energy above the most stable polymorph in this dataset at 603 meV per atom. For the density of states at the Fermi level, the calculation gives 13.6 states/eV per cell. The formation energy comes out at 1.209 eV per atom.

=====

14.
# ReSBr

A geometry-optimized ReSBr structure (PBE, Alexandria).

Cell lengths 3.569, 4.854, 9.431 Å; angles 92.67, 92.11, 97.82 degrees
Space group P-1 (No. 2)
One atom of each set of equivalent atoms:
Re (0.191, 0.188, 0.086) [2 per cell]
S (0.297, 0.718, 0.064) [2 per cell]
Br (0.246, 0.230, 0.344) [2 per cell]

The calculation puts the total energy at -6.108 eV/atom. Its crystal system is triclinic. The calculation puts the energy above the most stable polymorph in this dataset at 95 meV per atom. The formation energy from raw total energies comes out at -0.025 eV per atom. For the density of states at the Fermi level, the calculation gives 0.7 states/eV per cell.

=====

15.
# Ir3WN

A geometry-optimized Ir3WN structure (PBE, Alexandria).

Cell lengths 4.102, 4.102, 4.102 Å; angles 90.00, 90.00, 90.00 degrees
Space group Pm-3m (No. 221)
One atom of each set of equivalent atoms:
Ir (0.000, 0.000, 0.500) [3 per cell]
W (0.500, 0.500, 0.500) [1 per cell]
N (0.000, 0.000, 0.000) [1 per cell]

The calculation puts the total energy at -8.756 eV/atom. Its crystal system is cubic. The calculation puts the energy above the most stable polymorph in this dataset at 0 meV per atom. The formation energy from raw total energies comes out at 0.816 eV per atom. For the density of states at the Fermi level, the calculation gives 7.2 states/eV per cell.

=====

16.
# AcDy2Lu

A geometry-optimized AcDy2Lu structure (PBE, Alexandria).

Cell lengths 4.012, 4.012, 8.612 Å; angles 90.00, 90.00, 90.00 degrees
Space group P4/mmm (No. 123)
One atom of each set of equivalent atoms:
Ac (0.000, 0.000, 0.000) [1 per cell]
Dy (0.500, 0.500, 0.284) [2 per cell]
Lu (0.000, 0.000, 0.500) [1 per cell]

The calculation puts the total energy at -4.353 eV/atom. Its crystal system is tetragonal. The calculation puts the energy above the most stable polymorph in this dataset at 37 meV per atom. For the density of states at the Fermi level, the calculation gives 7.2 states/eV per cell. The formation energy comes out at 0.105 eV per atom.

=====

17.
# MnTlGe2Br8

A geometry-optimized MnTlGe2Br8 structure (PBE, Alexandria).

Cell lengths 6.364, 7.810, 8.998 Å; angles 97.52, 93.74, 108.59 degrees
Space group P-1 (No. 2)
One atom of each set of equivalent atoms:
Mn (0.000, 0.000, 0.000) [1 per cell]
Tl (0.000, 0.000, 0.500) [1 per cell]
Ge (0.298, 0.667, 0.170) [2 per cell]
Br (0.053, 0.755, 0.831) [2 per cell]
Br (0.279, 0.275, 0.838) [2 per cell]
Br (0.313, 0.700, 0.446) [2 per cell]
Br (0.322, 0.020, 0.179) [2 per cell]

The calculation puts the total energy at -3.469 eV/atom. Its crystal system is triclinic. The formation energy from raw total energies comes out at -0.623 eV per atom.

=====

18.
# TbSc2Ga2Cu2

A geometry-optimized TbSc2Ga2Cu2 structure (PBE, Alexandria).

Cell lengths 4.3157, 4.3157, 25.4455 Å; angles 90.00, 90.00, 120.00 degrees
Space group R-3m (No. 166, hexagonal axes)
One atom of each set of equivalent atoms:
Tb (0.0000, 0.0000, 0.0000) [3 per cell]
Sc (0.0000, 0.0000, 0.1286) [6 per cell]
Ga (0.0000, 0.0000, 0.2544) [6 per cell]
Cu (0.0000, 0.0000, 0.4106) [6 per cell]

The calculation puts the total energy at -4.925 eV/atom. Its crystal system is trigonal. For the density of states at the Fermi level, the calculation gives 10.3 states/eV per cell. The formation energy comes out at -0.419 eV per atom.

=====

19.
# V2TcHPt

A geometry-optimized V2TcHPt structure (PBE, Alexandria).

Cell lengths 3.966, 3.966, 3.741 Å; angles 90.00, 90.00, 90.00 degrees
Space group P4/mmm (No. 123)
One atom of each set of equivalent atoms:
V (0.000, 0.500, 0.000) [2 per cell]
Tc (0.000, 0.000, 0.500) [1 per cell]
H (0.500, 0.500, 0.000) [1 per cell]
Pt (0.500, 0.500, 0.500) [1 per cell]

The calculation puts the total energy at -7.811 eV/atom. Its crystal system is tetragonal. The calculation puts the energy above the most stable polymorph in this dataset at 83 meV per atom. For the density of states at the Fermi level, the calculation gives 4.4 states/eV per cell.

=====

20.
# Ta2InCu

A geometry-optimized Ta2InCu structure (PBE, Alexandria).

Cell lengths 3.721, 4.385, 8.687 Å; angles 90.00, 90.00, 90.00 degrees
Space group Cmm2 (No. 35)
One atom of each set of equivalent atoms:
Ta (0.000, 0.000, 0.000) [2 per cell]
Ta (0.000, 0.500, 0.260) [2 per cell]
In (0.000, 0.500, 0.723) [2 per cell]
Cu (0.000, 0.000, 0.485) [2 per cell]

The calculation puts the total energy at -7.515 eV/atom. Its crystal system is orthorhombic. For the density of states at the Fermi level, the calculation gives 3.9 states/eV per cell. The formation energy comes out at 0.119 eV per atom.